No. 1
ReNi2W PBE relaxed; symmetry = Cm (8); spin magnetization = 0.000 μB per formula unit; formation enthalpy at 0 K = 0.04 eV per atom
1.0
-4.042 -2.046 -0.522
-2.230 -3.953 -0.445
-0.946 -0.716 4.525
Re Ni W
1 2 1
Cartesian
-3.631 -3.382 1.685
-1.794 -1.670 0.875
-6.273 -5.999 -0.932
-5.399 -5.020 2.741


No. 2
TaTeSe2 PBE relaxed; formation energy from raw total energies = 1.77 eV per formula unit; symmetry = Pmmm (47); spin magnetization = 0.001 μB per formula unit
1.0
-1.541 0.902 2.883
2.748 -3.908 2.692
3.319 2.925 0.859
Se Ta Te
2 1 1
Cartesian
0.000 0.000 0.000
0.603 -1.503 2.787
0.889 1.914 1.871
3.033 -0.492 1.775


No. 3
LiGaTe PBE relaxed; formation energy from raw total energies = -1.24 eV per formula unit; ΔE to the lowest computed polymorph = 55 meV/atom; symmetry = P3m1 (156); spin magnetization = 0.000 μB per formula unit
1.0
5.085 0.000 0.000
0.000 4.280 0.000
0.000 -2.140 3.706
Li Te Ga
1 1 1
Cartesian
1.998 0.000 2.471
3.273 2.140 1.235
4.899 0.000 0.000


No. 4
Rb3TmAg2I9 PBE relaxed; formation energy from raw total energies = -14.68 eV per formula unit; symmetry = P-3m1 (164); spin magnetization = 0.000 μB per formula unit
1.0
-6.427 -2.459 4.818
0.526 -2.626 -7.962
5.529 -8.341 3.117
I Rb Ag Tm
9 3 2 1
Cartesian
0.263 -1.313 -3.981
1.216 -5.396 -4.777
-3.213 -1.230 2.409
-1.327 -9.338 0.787
0.955 -4.089 -0.814
-1.982 -6.620 -2.379
-1.588 -8.031 4.750
-2.950 -2.543 -1.572
1.610 -6.807 2.352
-2.357 -5.159 1.546
0.000 0.000 0.000
1.985 -8.268 -1.573
-0.942 -3.853 -3.223
0.570 -9.574 3.196
2.764 -4.170 1.558


No. 5
HoPBr PBE relaxed; formation energy from raw total energies = -4.19 eV per formula unit; ΔE to the lowest computed polymorph = 0 meV/atom; symmetry = P-1 (2); spin magnetization = 0.000 μB per formula unit
1.0
-3.580 0.564 1.365
3.356 -0.496 3.721
0.451 10.396 -2.943
Ho P Br
2 2 2
Cartesian
-0.366 9.121 1.002
0.594 1.344 1.141
-1.067 9.836 -1.599
1.295 0.629 3.742
-0.635 3.498 2.442
0.862 6.967 -0.299


No. 6
NaRuW3 PBE relaxed; ΔE to the lowest computed polymorph = 0 meV/atom; symmetry = Pm-3m (221); spin magnetization = 0.000 μB per formula unit; formation enthalpy at 0 K = 1.94 eV per atom
1.0
-2.428 0.696 4.051
-3.234 -3.228 -1.384
2.537 -3.448 2.113
Na W Ru
1 3 1
Cartesian
-1.562 -2.990 2.390
-1.214 0.348 2.026
1.269 -1.724 1.057
-1.617 -1.614 -0.692
0.000 0.000 0.000


No. 7
Gd3Ag5Te12 PBE relaxed; formation energy from raw total energies = -8.11 eV per formula unit; symmetry = Ia-3d (230); spin magnetization = 19.995 μB per formula unit
1.0
-4.440 -14.253 -1.075
4.988 4.690 -13.310
10.994 1.052 10.101
Te Gd Ag
48 12 20
Cartesian
8.677 -8.329 -4.127
9.941 -1.204 2.553
9.010 2.048 -4.164
8.723 0.131 -1.129
3.309 0.129 -8.297
1.401 -7.489 -12.586
-2.001 -9.556 -2.060
5.122 -4.938 -4.859
7.002 -0.596 -6.573
10.171 -5.312 0.773
1.371 -3.199 -5.057
11.427 -1.868 -2.140
10.142 -1.023 8.303
6.420 -3.573 0.575
9.520 -3.171 -6.537
4.540 -7.915 2.289
8.234 -8.640 4.013
2.533 -10.559 -0.120
0.561 -10.652 -7.096
1.601 -7.308 -6.837
5.647 3.216 -10.930
2.820 -8.642 -3.155
9.271 -5.295 4.260
-0.179 -8.568 0.886
13.543 1.045 -2.224
5.444 0.058 2.214
6.098 -8.569 -6.498
3.984 -7.239 -10.221
8.222 3.467 -8.557
2.272 -3.216 -8.544
2.023 -5.341 2.253
6.288 -3.833 -7.981
5.826 -1.697 -3.454
2.419 0.143 -4.807
0.706 -11.557 -3.059
7.558 -1.272 5.938
8.351 -4.265 -3.412
10.836 3.045 -1.225
10.981 2.140 2.812
9.124 -8.654 0.523
3.191 -4.246 -0.872
5.717 -6.814 -0.830
5.255 -4.678 3.698
11.722 0.057 -5.169
5.896 -11.727 6.647
3.320 -11.978 4.273
0.116 -6.644 -2.144
2.865 -0.182 -0.157
12.055 3.111 -4.204
-0.085 -8.800 -4.535
10.312 0.312 5.377
11.628 0.288 0.251
7.341 -6.360 1.913
2.595 -7.341 -0.212
-0.513 -11.622 -0.079
7.906 -5.929 -6.139
1.230 -8.823 -9.661
8.947 -1.170 -4.072
4.201 -2.151 -6.197
3.636 -2.582 1.855
3.910 -7.364 -5.337
7.991 2.871 -1.604
4.338 -4.542 -9.793
4.629 0.672 -10.652
0.000 0.000 0.000
4.064 0.240 -2.600
6.914 -9.183 6.368
7.632 -1.147 1.053
10.586 -4.470 -1.816
7.478 -8.751 -1.684
7.204 -3.970 5.509
0.956 -4.041 -2.468
4.234 -10.641 2.045
5.497 0.526 5.051
5.771 -4.256 -2.142
3.277 -6.600 4.513
2.494 2.345 -6.655
7.309 2.130 -6.329
-2.220 -7.127 -0.538
0.274 -4.782 -7.193


No. 8
Pm4Y3Ho4 PBE relaxed; ΔE to the lowest computed polymorph = 0 meV/atom; symmetry = P-1 (2); spin magnetization = 0.000 μB per formula unit; formation enthalpy at 0 K = 0.03 eV per atom
1.0
-2.453 1.742 -1.969
-2.077 -4.904 -1.752
-13.590 -1.783 12.121
Ho Y Pm
4 3 4
Cartesian
-11.507 -1.739 9.537
-7.586 -1.677 4.711
-6.612 -3.205 -1.137
-10.534 -3.268 3.689
-11.334 -4.171 7.166
-6.786 -0.774 1.235
-16.042 -0.041 10.151
-10.806 -0.837 6.179
-3.438 -1.609 -0.399
-7.314 -4.107 2.222
-14.681 -3.336 8.799


No. 9
Nd3Ge5Au6 PBE relaxed; symmetry = Pmmn (59); spin magnetization = 0.000 μB per formula unit; formation enthalpy at 0 K = -0.58 eV per atom
1.0
4.376 0.000 0.000
0.000 10.204 0.000
0.000 0.000 13.143
Au Ge Nd
12 10 6
Cartesian
2.188 10.021 0.000
2.188 3.937 10.810
0.000 4.653 6.571
0.000 6.267 8.904
0.000 10.107 11.065
0.000 0.183 6.571
2.188 5.551 0.000
2.188 0.097 8.649
0.000 10.107 2.078
2.188 3.937 2.333
2.188 0.097 4.494
0.000 6.267 4.239
0.000 8.801 8.714
0.000 5.390 1.699
2.188 4.814 8.271
2.188 1.403 11.000
0.000 5.390 11.444
2.188 2.045 6.571
2.188 1.403 2.143
0.000 8.801 4.429
2.188 4.814 4.872
0.000 8.159 0.000
0.000 2.507 8.864
0.000 2.529 0.000
2.188 7.697 2.293
2.188 7.697 10.850
0.000 2.507 4.279
2.188 7.675 6.571


No. 10
BaZn PBE relaxed; symmetry = Pm-3m (221); spin magnetization = 0.000 μB per formula unit; formation enthalpy at 0 K = -0.16 eV per atom
1.0
-3.160 0.362 -2.604
-1.205 -3.818 0.932
-2.336 1.480 3.041
Zn Ba
1 1
Cartesian
-3.351 -0.988 0.684
0.000 0.000 0.000


No. 11
K2BaY PBE relaxed; ΔE to the lowest computed polymorph = 121 meV/atom; symmetry = Immm (71); spin magnetization = 0.005 μB per formula unit; formation enthalpy at 0 K = 0.38 eV per atom
1.0
-3.635 -1.882 -7.396
-8.061 -2.429 -0.760
5.892 5.663 2.161
Y Ba K
1 1 2
Cartesian
-1.795 0.813 -4.657
-4.008 0.539 -1.339
-11.549 -4.257 -8.054
-5.995 -2.210 -4.181


No. 12
Ti7Co5Sn PBE relaxed; symmetry = Imm2 (44); spin magnetization = 0.000 μB per formula unit; formation enthalpy at 0 K = -0.26 eV per atom
1.0
5.088 0.000 0.000
2.544 6.109 0.015
2.544 -0.005 6.109
Co Ti Sn
5 7 1
Cartesian
7.631 4.346 4.360
6.344 5.985 2.868
3.831 5.985 2.868
6.344 2.848 5.994
3.831 2.848 5.994
5.088 4.771 0.671
2.544 1.437 1.442
5.088 0.656 4.773
5.088 2.653 2.662
2.544 1.900 4.085
5.088 4.667 4.682
2.544 4.079 1.914
5.088 0.554 0.555


No. 13
Co2SiAu PBE relaxed; formation energy from raw total energies = 0.28 eV per formula unit; symmetry = I-4m2 (119); spin magnetization = 2.584 μB per formula unit
1.0
4.568 0.016 0.000
1.542 4.300 0.000
-3.055 -2.158 2.622
Si Co Au
1 2 1
Cartesian
3.055 2.158 0.000
0.771 2.150 1.311
0.000 0.000 0.000
2.284 0.008 1.311


No. 14
TmBPt PBE relaxed; symmetry = Pnma (62); spin magnetization = 0.000 μB per formula unit; formation enthalpy at 0 K = -0.70 eV per atom
1.0
-2.198 -0.085 2.652
1.367 -5.614 0.954
6.831 2.640 5.744
Pt B Tm
4 4 4
Cartesian
3.250 -0.344 3.800
2.751 -2.715 5.549
6.551 1.443 6.593
-0.551 -4.501 2.757
5.359 0.004 7.798
4.548 -3.763 4.767
0.641 -3.062 1.552
1.452 0.705 4.582
3.583 1.339 6.368
5.425 -1.402 5.569
2.418 -4.398 2.982
0.576 -1.656 3.781


No. 15
SrTb3Hg4 PBE relaxed; symmetry = P4/mmm (123); spin magnetization = 0.000 μB per formula unit; formation enthalpy at 0 K = -0.48 eV per atom
1.0
5.341 0.000 0.000
0.000 7.652 0.000
0.000 0.000 10.683
Hg Tb Sr
8 6 2
Cartesian
2.670 1.806 0.000
2.670 5.846 0.000
2.670 1.806 5.342
0.004 5.846 8.012
2.670 5.846 5.342
5.337 5.846 2.671
0.004 1.806 8.012
5.337 1.806 2.671
2.672 3.826 8.012
2.674 0.000 8.012
2.669 3.826 2.671
0.000 0.000 5.342
0.000 0.000 0.000
2.667 0.000 2.671
0.000 3.826 0.000
0.000 3.826 5.342


No. 16
NdGaAu2 PBE relaxed; symmetry = P4/mmm (123); spin magnetization = 0.000 μB per formula unit; formation enthalpy at 0 K = -0.50 eV per atom
1.0
-1.843 1.460 -2.860
-2.008 -3.097 -0.287
-4.381 2.463 4.080
Nd Ga Au
1 1 2
Cartesian
-4.116 0.413 0.467
-1.926 -0.819 -1.573
-1.008 0.567 0.939
-3.374 1.896 3.142